# 1
VASP calculation (SCAN) on K2TcPt at its PBEsol-relaxed geometry.

Output
ΔE_f ... 928 meV per atom
Uncorrected energy ... -118.2 eV/f.u.
DOS(E_F) ... 0.67 states/eV/atom
Calculated volume ... 91 Å³/f.u.
Distance to the lowest polymorph of the same formula ... 568.9 meV/atom

Geometry as POSCAR:
```
K2TcPt
1.0
5.047 0.000 0.000
2.523 4.371 0.000
2.523 1.457 4.121
K Pt Tc
2 1 1
Direct
0.000 0.000 0.000
0.750 0.750 0.750
0.500 0.500 0.500
0.250 0.250 0.250
```

# 2
VASP calculation (SCAN) on SrLaMn2 at its PBEsol-relaxed geometry.

Output
ΔE_f ... 169 meV per atom
Uncorrected energy ... -101.2 eV/f.u.
DOS(E_F) ... 0.96 states/eV/atom
Calculated volume ... 101 Å³/f.u.
Distance to the lowest polymorph of the same formula ... 0.0 meV/atom

Geometry as POSCAR:
```
SrLaMn2
1.0
3.730 0.000 0.000
0.000 3.730 0.000
0.000 0.000 7.255
Mn Sr La
2 1 1
Direct
0.000 0.000 0.694
0.000 0.000 0.306
0.500 0.500 0.000
0.500 0.500 0.500
```

# 3
VASP calculation (SCAN) on KScSF2 at its PBEsol-relaxed geometry.

Output
Uncorrected energy ... -44.7 eV/f.u.
DOS(E_F) ... 0.60 states/eV/atom
Calculated volume ... 111 Å³/f.u.
E_form (uncorrected) ... -104.4 kJ per mole of atoms

Geometry as POSCAR:
```
KScSF2
1.0
-0.410 2.500 -3.357
-0.614 -3.372 -2.436
-6.177 0.377 1.035
F Sc K S
2 1 1 1
Direct
0.000 0.500 0.000
0.500 0.000 0.000
0.000 0.000 0.500
0.000 0.000 0.000
0.500 0.500 0.500
```